1.
Below is a geometry-optimized SrZrP2O8 structure, with properties calculated at the PBE-GGA level.

Formation energy from raw total energies in kJ/mol of formula units: -3241.7
Total DFT energy (no corrections) in eV per atom: -7.859
DOS(E_F) in states/eV/f.u.: 0.0
Symmetry: P-1

a = 5.204 Å, b = 7.845 Å, c = 8.085 Å
α = 91.62°, β = 96.26°, γ = 90.41°
Fractional positions:
Sr 0.209 0.025 0.275
Sr 0.791 0.975 0.725
Zr 0.165 0.528 0.221
Zr 0.835 0.472 0.779
P 0.282 0.249 0.880
P 0.296 0.708 0.622
P 0.704 0.292 0.378
P 0.718 0.751 0.120
O 0.056 0.684 0.721
O 0.079 0.252 0.721
O 0.190 0.418 0.968
O 0.247 0.090 0.975
O 0.267 0.584 0.470
O 0.312 0.896 0.577
O 0.438 0.725 0.167
O 0.458 0.339 0.263
O 0.542 0.661 0.737
O 0.562 0.275 0.833
O 0.688 0.104 0.423
O 0.733 0.416 0.530
O 0.753 0.910 0.025
O 0.810 0.582 0.032
O 0.921 0.748 0.279
O 0.944 0.316 0.279

---

2.
Below is a geometry-optimized TaPO5 structure, with properties calculated at the PBE-GGA level.

Formation energy from raw total energies in kJ/mol of formula units: -1730.5
Distance to the lowest polymorph of the same formula in meV/atom: 49.1
Total DFT energy (no corrections) in eV per atom: -8.570
DOS(E_F) in states/eV/f.u.: 0.0
Symmetry: P4/nmm

a = 6.515 Å, b = 6.515 Å, c = 4.050 Å
α = 90.00°, β = 90.00°, γ = 90.00°
Fractional positions:
Ta 0.250 0.250 0.236
Ta 0.750 0.750 0.764
P 0.250 0.750 0.500
P 0.750 0.250 0.500
O 0.055 0.750 0.716
O 0.250 0.250 0.785
O 0.250 0.555 0.284
O 0.250 0.945 0.284
O 0.445 0.750 0.716
O 0.555 0.250 0.284
O 0.750 0.055 0.716
O 0.750 0.445 0.716
O 0.750 0.750 0.215
O 0.945 0.250 0.284

---

3.
Below is a geometry-optimized Ta3PO structure, with properties calculated at the PBE-GGA level.

Formation energy from raw total energies in kJ/mol of formula units: -201.9
Distance to the lowest polymorph of the same formula in meV/atom: 0.0
Total DFT energy (no corrections) in eV per atom: -9.604
DOS(E_F) in states/eV/f.u.: 1.2
Symmetry: Pm-3m

a = 4.183 Å, b = 4.183 Å, c = 4.183 Å
α = 90.00°, β = 90.00°, γ = 90.00°
Fractional positions:
Ta 0.000 0.000 0.500
Ta 0.000 0.500 0.000
Ta 0.500 0.000 0.000
P 0.500 0.500 0.500
O 0.000 0.000 0.000

---

- Which value of DOS(E_F) does entry 3 give?
  1.2 states/eV/f.u.